Entry 1:
This record from Alexandria describes a geometry-optimized TcHg2W structure. The functional is PBE.

Cell and atoms, written as CIF:
```
data_TcHg2W
_cell_length_a 4.849
_cell_length_b 4.849
_cell_length_c 3.010
_cell_angle_alpha 90.00
_cell_angle_beta 90.00
_cell_angle_gamma 90.00
_symmetry_space_group_name_H-M 'P 4/m m m'
_symmetry_Int_Tables_number 123
_symmetry_space_group_name_Hall '-P 4 2'
loop_
_atom_site_label
_atom_site_fract_x
_atom_site_fract_y
_atom_site_fract_z
_atom_site_occupancy
Tc1 0.000 0.000 0.000 1
Hg1 0.000 0.500 0.500 1
W1 0.500 0.500 0.000 1
```

Calculated values
total magnetization	0.00	μB per formula unit
raw total energy	-4.9695	eV/atom
relative energy among the computed polymorphs	0.613	eV per atom
calculated formation energy	1.011	eV per atom

---

Entry 2:
This record from Alexandria describes a geometry-optimized TcHgW structure. The functional is PBE.

Cell and atoms, written as CIF:
```
data_TcHgW
_cell_length_a 2.9396
_cell_length_b 2.9396
_cell_length_c 6.9891
_cell_angle_alpha 90.00
_cell_angle_beta 90.00
_cell_angle_gamma 120.00
_symmetry_space_group_name_H-M 'P 3 m 1'
_symmetry_Int_Tables_number 156
_symmetry_space_group_name_Hall 'P 3 -2"'
loop_
_atom_site_label
_atom_site_fract_x
_atom_site_fract_y
_atom_site_fract_z
_atom_site_occupancy
Tc1 0.0000 0.0000 0.0000 1
Hg1 0.3333 0.6667 0.6443 1
W1 0.6667 0.3333 0.2802 1
```

Calculated values
total magnetization	0.00	μB per formula unit
raw total energy	-7.4027	eV/atom
relative energy among the computed polymorphs	0.016	eV per atom
calculated formation energy	0.471	eV per atom

---

Entry 3:
This record from Alexandria describes a geometry-optimized TcHg3W structure. The functional is PBE.

Cell and atoms, written as CIF:
```
data_TcHg3W
_cell_length_a 5.251
_cell_length_b 5.251
_cell_length_c 5.251
_cell_angle_alpha 90.00
_cell_angle_beta 90.00
_cell_angle_gamma 90.00
_symmetry_space_group_name_H-M 'P m -3 m'
_symmetry_Int_Tables_number 221
_symmetry_space_group_name_Hall '-P 4 2 3'
loop_
_atom_site_label
_atom_site_fract_x
_atom_site_fract_y
_atom_site_fract_z
_atom_site_occupancy
Tc1 0.000 0.000 0.000 1
Hg1 0.000 0.500 0.500 1
W1 0.500 0.500 0.500 1
```

Calculated values
total magnetization	2.99	μB per formula unit
raw total energy	-3.0201	eV/atom
relative energy among the computed polymorphs	0.000	eV per atom
calculated formation energy	1.825	eV per atom

---

Number 1 is which compound?
TcHg2W